[1]
{"formula": "TcAs2Rh", "functional": "GGA-PBE", "state": "relaxed", "m_tot_mub_per_fu": 0.0, "polymorph_energy_mev_per_atom": 0, "energy_ev_per_atom": -6.977, "spacegroup": "No. 6", "e_form_ev_per_atom": -0.222, "lattice_angstrom": [[3.1648, 0.0000, 0.0000], [0.0000, 4.7510, 0.0000], [-1.4108, 0.0000, 4.4537]], "species": ["Tc", "As", "As", "Rh"], "frac_coords": [[0.0000, 0.0000, 0.0000], [0.6855, 0.0000, 0.4167], [0.9050, 0.5000, 0.7710], [0.5860, 0.5000, 0.1832]]}



[2]
{"formula": "TcAs2Rh", "functional": "GGA-PBE", "state": "relaxed", "m_tot_mub_per_fu": 0.0, "polymorph_energy_mev_per_atom": 410, "energy_ev_per_atom": -6.567, "spacegroup": "No. 2", "e_form_ev_per_atom": 0.187, "lattice_angstrom": [[3.0405, 0.0000, 0.0000], [1.4977, 4.7864, 0.0000], [1.5184, 1.9642, 4.3906]], "species": ["Tc", "As", "As", "Rh"], "frac_coords": [[0.0000, 0.0000, 0.0000], [0.0000, 0.5000, 0.0000], [0.5000, 0.0000, 0.5000], [0.5000, 0.5000, 0.5000]]}



[3]
{"formula": "TcAs2Rh", "functional": "GGA-PBE", "state": "relaxed", "m_tot_mub_per_fu": 0.0, "polymorph_energy_mev_per_atom": 413, "energy_ev_per_atom": -6.564, "spacegroup": "No. 47", "e_form_ev_per_atom": 0.190, "lattice_angstrom": [[3.0984, 0.0000, 0.0000], [0.0000, 4.0023, 0.0000], [0.0000, 0.0000, 5.1291]], "species": ["Tc", "As", "As", "Rh"], "frac_coords": [[0.0000, 0.0000, 0.0000], [0.0000, 0.5000, 0.5000], [0.5000, 0.5000, 0.0000], [0.5000, 0.0000, 0.5000]]}



[4]
{"formula": "TcAs2Rh", "functional": "GGA-PBE", "state": "relaxed", "m_tot_mub_per_fu": 0.0, "polymorph_energy_mev_per_atom": 298, "energy_ev_per_atom": -6.679, "spacegroup": "No. 122", "e_form_ev_per_atom": 0.075, "lattice_angstrom": [[-2.7550, 2.7550, 5.5364], [2.7550, -2.7550, 5.5364], [2.7550, 2.7550, -5.5364]], "species": ["Tc", "Tc", "As", "As", "As", "As", "Rh", "Rh"], "frac_coords": [[0.0000, 0.0000, 0.0000], [0.7500, 0.2500, 0.5000], [0.1233, 0.6250, 0.9983], [0.3750, 0.3733, 0.4983], [0.6267, 0.1250, 0.0017], [0.8750, 0.8767, 0.5017], [0.2500, 0.7500, 0.5000], [0.5000, 0.5000, 0.0000]]}



[5]
{"formula": "TcAsRh2", "functional": "GGA-PBE", "state": "relaxed", "m_tot_mub_per_fu": 0.0, "energy_ev_per_atom": -7.471, "spacegroup": "No. 47", "e_form_ev_per_atom": -0.041, "lattice_angstrom": [[2.8350, 0.0000, 0.0000], [0.0000, 3.8386, 0.0000], [0.0000, 0.0000, 5.3912]], "species": ["Tc", "As", "Rh", "Rh"], "frac_coords": [[0.0000, 0.0000, 0.0000], [0.0000, 0.0000, 0.5000], [0.5000, 0.5000, 0.2423], [0.5000, 0.5000, 0.7577]]}



[6]
{"formula": "TcAsRh2", "functional": "GGA-PBE", "state": "relaxed", "m_tot_mub_per_fu": 0.0, "energy_ev_per_atom": -7.502, "spacegroup": "No. 71", "e_form_ev_per_atom": -0.072, "lattice_angstrom": [[-1.5990, 2.1205, 4.2595], [1.5990, -2.1205, 4.2595], [1.5990, 2.1205, -4.2595]], "species": ["Tc", "As", "Rh", "Rh"], "frac_coords": [[0.0000, 0.0000, 0.0000], [0.5000, 0.5000, 0.0000], [0.2765, 0.7765, 0.5000], [0.7235, 0.2235, 0.5000]]}



[7]
{"formula": "TcAs4Rh", "functional": "GGA-PBE", "state": "relaxed", "m_tot_mub_per_fu": 1.5, "polymorph_energy_mev_per_atom": 895, "energy_ev_per_atom": -5.232, "spacegroup": "No. 216", "e_form_ev_per_atom": 0.820, "lattice_angstrom": [[0.0000, 3.7590, 3.7590], [3.7590, 0.0000, 3.7590], [3.7590, 3.7590, 0.0000]], "species": ["Tc", "As", "As", "As", "As", "Rh"], "frac_coords": [[0.0000, 0.0000, 0.0000], [0.1248, 0.6251, 0.6251], [0.6251, 0.1248, 0.6251], [0.6251, 0.6251, 0.1248], [0.6251, 0.6251, 0.6251], [0.2500, 0.2500, 0.2500]]}



[8]
{"formula": "Tc2AsRh", "functional": "GGA-PBE", "state": "relaxed", "m_tot_mub_per_fu": 0.0, "energy_ev_per_atom": -8.231, "spacegroup": "No. 6", "e_form_ev_per_atom": -0.048, "lattice_angstrom": [[2.8299, 0.0000, 0.0000], [0.0000, 4.0133, 0.0000], [-1.4104, 0.0000, 5.1713]], "species": ["Tc", "Tc", "As", "Rh"], "frac_coords": [[0.0000, 0.0000, 0.0000], [0.3776, 0.5000, 0.7553], [0.6112, 0.5000, 0.2258], [0.7447, 0.0000, 0.4891]]}



[9]
{"formula": "TcAs2Rh", "functional": "GGA-PBE", "state": "relaxed", "m_tot_mub_per_fu": 0.0, "polymorph_energy_mev_per_atom": 571, "energy_ev_per_atom": -6.406, "spacegroup": "No. 216", "e_form_ev_per_atom": 0.348, "lattice_angstrom": [[0.0000, 3.1557, 3.1557], [3.1557, 0.0000, 3.1557], [3.1557, 3.1557, 0.0000]], "species": ["Tc", "As", "As", "Rh"], "frac_coords": [[0.0000, 0.0000, 0.0000], [0.5000, 0.5000, 0.5000], [0.7500, 0.7500, 0.7500], [0.2500, 0.2500, 0.2500]]}



[10]
{"formula": "TcAs2Rh", "functional": "GGA-PBE", "state": "relaxed", "m_tot_mub_per_fu": 0.0, "polymorph_energy_mev_per_atom": 55, "energy_ev_per_atom": -6.922, "spacegroup": "No. 25", "e_form_ev_per_atom": -0.168, "lattice_angstrom": [[3.0655, 0.0000, 0.0000], [0.0000, 3.8402, 0.0000], [0.0000, 0.0000, 5.2568]], "species": ["Tc", "As", "As", "Rh"], "frac_coords": [[0.0000, 0.0000, 0.0000], [0.0000, 0.0000, 0.5157], [0.5000, 0.5000, 0.1493], [0.5000, 0.5000, 0.6573]]}



[11]
{"formula": "TcAs2Rh", "functional": "GGA-PBE", "state": "relaxed", "m_tot_mub_per_fu": 0.0, "polymorph_energy_mev_per_atom": 143, "energy_ev_per_atom": -6.834, "spacegroup": "No. 12", "e_form_ev_per_atom": -0.080, "lattice_angstrom": [[4.0023, -1.5109, 0.0000], [4.0023, 1.5109, 0.0000], [-1.1069, 0.0000, 5.0653]], "species": ["Tc", "As", "As", "Rh"], "frac_coords": [[0.0000, 0.0000, 0.0000], [0.2547, 0.2547, 0.7630], [0.7453, 0.7453, 0.2370], [0.5000, 0.5000, 0.5000]]}



[12]
{"formula": "TcAsRh2", "functional": "GGA-PBE", "state": "relaxed", "m_tot_mub_per_fu": 0.0, "energy_ev_per_atom": -7.410, "spacegroup": "No. 160", "e_form_ev_per_atom": 0.019, "lattice_angstrom": [[1.4270, 0.8239, 8.3272], [-1.4270, 0.8239, 8.3272], [0.0000, -1.6478, 8.3272]], "species": ["Tc", "As", "Rh", "Rh"], "frac_coords": [[0.0000, 0.0000, 0.0000], [0.7480, 0.7480, 0.7480], [0.2500, 0.2500, 0.2500], [0.4916, 0.4916, 0.4916]]}



[13]
{"formula": "Tc2AsRh", "functional": "GGA-PBE", "state": "relaxed", "m_tot_mub_per_fu": 0.0, "energy_ev_per_atom": -8.171, "spacegroup": "No. 123", "e_form_ev_per_atom": 0.012, "lattice_angstrom": [[2.9523, 0.0000, 0.0000], [0.0000, 2.9523, 0.0000], [0.0000, 0.0000, 6.6251]], "species": ["Tc", "Tc", "As", "Rh"], "frac_coords": [[0.0000, 0.0000, 0.2267], [0.0000, 0.0000, 0.7733], [0.5000, 0.5000, 0.0000], [0.5000, 0.5000, 0.5000]]}



[14]
{"formula": "TcAsRh2", "functional": "GGA-PBE", "state": "relaxed", "m_tot_mub_per_fu": 0.0, "energy_ev_per_atom": -7.420, "spacegroup": "No. 65", "e_form_ev_per_atom": 0.010, "lattice_angstrom": [[2.6877, -3.8778, 0.0000], [2.6877, 3.8778, 0.0000], [0.0000, 0.0000, 2.8012]], "species": ["Tc", "As", "Rh", "Rh"], "frac_coords": [[0.0000, 0.0000, 0.0000], [0.5000, 0.5000, 0.0000], [0.0000, 0.5000, 0.5000], [0.5000, 0.0000, 0.5000]]}



[15]
{"formula": "TcAs2Rh", "functional": "GGA-PBE", "state": "relaxed", "m_tot_mub_per_fu": 0.0, "polymorph_energy_mev_per_atom": 161, "energy_ev_per_atom": -6.815, "spacegroup": "No. 10", "e_form_ev_per_atom": -0.061, "lattice_angstrom": [[3.0604, 0.0000, 0.0000], [0.0000, 2.9579, 0.0000], [-0.0151, 0.0000, 7.1305]], "species": ["Tc", "As", "As", "Rh"], "frac_coords": [[0.0000, 0.0000, 0.0000], [0.4988, 0.5000, 0.7819], [0.5012, 0.5000, 0.2181], [0.5000, 0.0000, 0.5000]]}



[16]
{"formula": "TcAsRh2", "functional": "GGA-PBE", "state": "relaxed", "m_tot_mub_per_fu": 0.0, "energy_ev_per_atom": -7.465, "spacegroup": "No. 166", "e_form_ev_per_atom": -0.036, "lattice_angstrom": [[1.4096, 0.8139, 8.5016], [-1.4096, 0.8139, 8.5016], [0.0000, -1.6277, 8.5016]], "species": ["Tc", "As", "Rh", "Rh"], "frac_coords": [[0.0000, 0.0000, 0.0000], [0.5000, 0.5000, 0.5000], [0.2474, 0.2474, 0.2474], [0.7526, 0.7526, 0.7526]]}



[17]
{"formula": "Tc2AsRh", "functional": "GGA-PBE", "state": "relaxed", "m_tot_mub_per_fu": 2.3, "energy_ev_per_atom": -7.943, "spacegroup": "No. 216", "e_form_ev_per_atom": 0.240, "lattice_angstrom": [[0.0000, 3.1030, 3.1030], [3.1030, 0.0000, 3.1030], [3.1030, 3.1030, 0.0000]], "species": ["Tc", "Tc", "As", "Rh"], "frac_coords": [[0.0000, 0.0000, 0.0000], [0.2500, 0.2500, 0.2500], [0.7500, 0.7500, 0.7500], [0.5000, 0.5000, 0.5000]]}



[18]
{"formula": "TcAsRh2", "functional": "GGA-PBE", "state": "relaxed", "m_tot_mub_per_fu": 1.5, "energy_ev_per_atom": -7.390, "spacegroup": "No. 123", "e_form_ev_per_atom": 0.039, "lattice_angstrom": [[3.8483, 0.0000, 0.0000], [0.0000, 3.8483, 0.0000], [0.0000, 0.0000, 3.9522]], "species": ["Tc", "As", "Rh", "Rh"], "frac_coords": [[0.0000, 0.0000, 0.0000], [0.5000, 0.5000, 0.0000], [0.0000, 0.5000, 0.5000], [0.5000, 0.0000, 0.5000]]}



[19]
{"formula": "Tc2AsRh", "functional": "GGA-PBE", "state": "relaxed", "m_tot_mub_per_fu": 0.0, "energy_ev_per_atom": -7.392, "spacegroup": "No. 122", "e_form_ev_per_atom": 0.791, "lattice_angstrom": [[-2.8120, 2.8120, 5.3561], [2.8120, -2.8120, 5.3561], [2.8120, 2.8120, -5.3561]], "species": ["Tc", "Tc", "Tc", "Tc", "As", "As", "Rh", "Rh"], "frac_coords": [[0.1203, 0.6250, 0.9953], [0.3750, 0.3703, 0.4953], [0.6297, 0.1250, 0.0047], [0.8750, 0.8797, 0.5047], [0.2500, 0.7500, 0.5000], [0.5000, 0.5000, 0.0000], [0.0000, 0.0000, 0.0000], [0.7500, 0.2500, 0.5000]]}



[20]
{"formula": "Tc2AsRh", "functional": "GGA-PBE", "state": "relaxed", "m_tot_mub_per_fu": 0.0, "energy_ev_per_atom": -8.106, "spacegroup": "No. 166", "e_form_ev_per_atom": 0.077, "lattice_angstrom": [[1.4180, 0.8187, 8.3988], [-1.4180, 0.8187, 8.3988], [0.0000, -1.6374, 8.3988]], "species": ["Tc", "Tc", "As", "Rh"], "frac_coords": [[0.2468, 0.2468, 0.2468], [0.7532, 0.7532, 0.7532], [0.5000, 0.5000, 0.5000], [0.0000, 0.0000, 0.0000]]}



[21]
{"formula": "Tc2AsRh", "functional": "GGA-PBE", "state": "relaxed", "m_tot_mub_per_fu": 0.0, "energy_ev_per_atom": -8.215, "spacegroup": "No. 71", "e_form_ev_per_atom": -0.032, "lattice_angstrom": [[-1.4809, 2.1916, 4.5164], [1.4809, -2.1916, 4.5164], [1.4809, 2.1916, -4.5164]], "species": ["Tc", "Tc", "As", "Rh"], "frac_coords": [[0.2176, 0.2176, 0.0000], [0.7824, 0.7824, 0.0000], [0.0000, 0.5000, 0.5000], [0.5000, 0.0000, 0.5000]]}



[22]
{"formula": "Tc2AsRh", "functional": "GGA-PBE", "state": "relaxed", "m_tot_mub_per_fu": 0.0, "energy_ev_per_atom": -8.084, "spacegroup": "No. 139", "e_form_ev_per_atom": 0.099, "lattice_angstrom": [[-1.9524, 1.9524, 3.7978], [1.9524, -1.9524, 3.7978], [1.9524, 1.9524, -3.7978]], "species": ["Tc", "Tc", "As", "Rh"], "frac_coords": [[0.2500, 0.7500, 0.5000], [0.7500, 0.2500, 0.5000], [0.0000, 0.0000, 0.0000], [0.5000, 0.5000, 0.0000]]}



[23]
{"formula": "TcAsRh2", "functional": "GGA-PBE", "state": "relaxed", "m_tot_mub_per_fu": 0.0, "energy_ev_per_atom": -7.509, "spacegroup": "No. 8", "e_form_ev_per_atom": -0.080, "lattice_angstrom": [[4.5625, -1.4138, 0.0000], [4.5625, 1.4138, 0.0000], [-1.6495, 0.0000, 4.5712]], "species": ["Tc", "As", "Rh", "Rh"], "frac_coords": [[0.0000, 0.0000, 0.0000], [0.7125, 0.7125, 0.3637], [0.2389, 0.2389, 0.8136], [0.4505, 0.4505, 0.4929]]}



[24]
{"formula": "TcAs2Rh", "functional": "GGA-PBE", "state": "relaxed", "m_tot_mub_per_fu": 0.0, "polymorph_energy_mev_per_atom": 201, "energy_ev_per_atom": -6.775, "spacegroup": "No. 44", "e_form_ev_per_atom": -0.021, "lattice_angstrom": [[-1.5467, 2.0969, 4.8314], [1.5467, -2.0969, 4.8314], [1.5467, 2.0969, -4.8314]], "species": ["Tc", "As", "As", "Rh"], "frac_coords": [[0.0000, 0.0000, 0.0000], [0.2133, 0.7133, 0.5000], [0.4904, 0.4904, 0.0000], [0.7136, 0.2136, 0.5000]]}



[25]
{"formula": "TcAsRh2", "functional": "GGA-PBE", "state": "relaxed", "m_tot_mub_per_fu": 0.0, "energy_ev_per_atom": -7.392, "spacegroup": "No. 47", "e_form_ev_per_atom": 0.038, "lattice_angstrom": [[3.0788, 0.0000, 0.0000], [0.0000, 4.3484, 0.0000], [0.0000, 0.0000, 4.3547]], "species": ["Tc", "As", "Rh", "Rh"], "frac_coords": [[0.0000, 0.0000, 0.0000], [0.5000, 0.0000, 0.5000], [0.0000, 0.5000, 0.5000], [0.5000, 0.5000, 0.0000]]}



[26]
{"formula": "TcAsRh2", "functional": "GGA-PBE", "state": "relaxed", "m_tot_mub_per_fu": 0.0, "energy_ev_per_atom": -7.465, "spacegroup": "No. 119", "e_form_ev_per_atom": -0.036, "lattice_angstrom": [[-2.0034, 2.0034, 3.5921], [2.0034, -2.0034, 3.5921], [2.0034, 2.0034, -3.5921]], "species": ["Tc", "As", "Rh", "Rh"], "frac_coords": [[0.0000, 0.0000, 0.0000], [0.2500, 0.7500, 0.5000], [0.5000, 0.5000, 0.0000], [0.7500, 0.2500, 0.5000]]}



[27]
{"formula": "Tc2AsRh", "functional": "GGA-PBE", "state": "relaxed", "m_tot_mub_per_fu": 0.0, "energy_ev_per_atom": -8.011, "spacegroup": "No. 47", "e_form_ev_per_atom": 0.173, "lattice_angstrom": [[3.1242, 0.0000, 0.0000], [0.0000, 4.2080, 0.0000], [0.0000, 0.0000, 4.5201]], "species": ["Tc", "Tc", "As", "Rh"], "frac_coords": [[0.0000, 0.0000, 0.0000], [0.5000, 0.5000, 0.0000], [0.0000, 0.5000, 0.5000], [0.5000, 0.0000, 0.5000]]}



[28]
{"formula": "TcAs2Rh", "functional": "GGA-PBE", "state": "relaxed", "m_tot_mub_per_fu": 0.0, "polymorph_energy_mev_per_atom": 37, "energy_ev_per_atom": -6.939, "spacegroup": "No. 8", "e_form_ev_per_atom": -0.185, "lattice_angstrom": [[4.2437, -1.6215, 0.0000], [4.2437, 1.6215, 0.0000], [-1.1248, 0.0000, 4.6462]], "species": ["Tc", "As", "As", "Rh"], "frac_coords": [[0.0000, 0.0000, 0.0000], [0.4830, 0.4830, 0.4121], [0.7154, 0.7154, 0.9965], [0.2201, 0.2201, 0.5887]]}



[29]
{"formula": "TcAsRh2", "functional": "GGA-PBE", "state": "relaxed", "m_tot_mub_per_fu": 0.0, "energy_ev_per_atom": -7.463, "spacegroup": "No. 99", "e_form_ev_per_atom": -0.033, "lattice_angstrom": [[2.9408, 0.0000, 0.0000], [0.0000, 2.9408, 0.0000], [0.0000, 0.0000, 6.7464]], "species": ["Tc", "As", "Rh", "Rh"], "frac_coords": [[0.0000, 0.0000, 0.0000], [0.5000, 0.5000, 0.2376], [0.0000, 0.0000, 0.4526], [0.5000, 0.5000, 0.7522]]}



[30]
{"formula": "TcAsRh2", "functional": "GGA-PBE", "state": "relaxed", "m_tot_mub_per_fu": 0.0, "energy_ev_per_atom": -7.475, "spacegroup": "No. 123", "e_form_ev_per_atom": -0.045, "lattice_angstrom": [[2.8247, 0.0000, 0.0000], [0.0000, 2.8247, 0.0000], [0.0000, 0.0000, 7.3652]], "species": ["Tc", "As", "Rh", "Rh"], "frac_coords": [[0.0000, 0.0000, 0.0000], [0.0000, 0.0000, 0.5000], [0.5000, 0.5000, 0.2507], [0.5000, 0.5000, 0.7493]]}